[1]
This record from OQMD describes ScAlAu after structural relaxation. The functional is PBE-GGA.

The space group is P-62c (No. 190) and the conventional cell measures 7.2832, 7.2832 and 7.2910 Å, with angles of 90.00, 90.00 and 120.00 degrees. Symmetry generates all atoms from Sc at (0.0139, 0.6046, 0.2500), Al at (0.0000, 0.2626, 0.0000), Au at (0.0000, 0.0000, 0.2500) and Au at (0.3333, 0.6667, 0.5196).

The calculation puts the total moment at 0.00 μB/f.u. As for the total energy: -93.8 eV for the cell shown.

=====

[2]
This record from OQMD describes LuOs after structural relaxation. The functional is PBE-GGA.

The space group is P-6m2 (No. 187) and the conventional cell measures 3.2013, 3.2013 and 4.3028 Å, with angles of 90.00, 90.00 and 120.00 degrees. Symmetry generates all atoms from Lu at (0.0000, 0.0000, 0.0000) and Os at (0.6667, 0.3333, 0.5000).

The calculation puts the total moment at 0.01 μB/f.u. The calculation puts the energy of formation from the pure elements at 0.196 eV/atom. As for the total energy: -15.4 eV for the cell shown.

=====

[3]
This record from OQMD describes Zr4CdSbC2 after structural relaxation. The functional is PBE-GGA.

The space group is P-6m2 (No. 187) and the conventional cell measures 3.3895, 3.3895 and 14.7426 Å, with angles of 90.00, 90.00 and 120.00 degrees. Symmetry generates all atoms from Zr at (0.0000, 0.0000, 0.1594), Zr at (0.6667, 0.3333, 0.3279), Cd at (0.0000, 0.0000, 0.5000), Sb at (0.6667, 0.3333, 0.0000) and C at (0.3333, 0.6667, 0.2449).

The calculation puts the total moment at 0.01 μB/f.u. As for the total energy: -62.9 eV for the cell shown.

=====

[4]
This record from OQMD describes LuHgIr after structural relaxation. The functional is PBE-GGA.

The space group is F-43m (No. 216) and the conventional cell measures 6.568, 6.568 and 6.568 Å, with angles of 90.00, 90.00 and 90.00 degrees. Symmetry generates all atoms from Lu at (0.000, 0.000, 0.000), Hg at (0.250, 0.250, 0.750) and Ir at (0.250, 0.250, 0.250).

The calculation puts the total moment at 0.00 μB/f.u. The calculation puts the energy of formation from the pure elements at -0.007 eV/atom. As for the total energy: -54.8 eV for the cell shown.

=====

[5]
This record from OQMD describes Cs2CuSnI6 after structural relaxation. The functional is PBE-GGA.

The space group is P2_1/c (No. 14) and the conventional cell measures 8.343, 8.348 and 14.507 Å, with angles of 90.00, 125.06 and 90.00 degrees. Symmetry generates all atoms from Cs at (0.245, 0.009, 0.250), Cu at (0.000, 0.000, 0.500), Sn at (0.500, 0.000, 0.000), I at (0.223, 0.249, 0.994), I at (0.246, 0.730, 0.994) and I at (0.254, 0.502, 0.242).

As for the total energy: -53.5 eV for the cell shown.

=====

[6]
This record from OQMD describes Tl5Cd after structural relaxation. The functional is PBE-GGA.

The space group is P-43m (No. 215) and the conventional cell measures 11.415, 11.415 and 11.415 Å, with angles of 90.00, 90.00 and 90.00 degrees. Symmetry generates all atoms from Tl at (0.000, 0.000, 0.223), Tl at (0.055, 0.293, 0.293), Tl at (0.140, 0.500, 0.500), Tl at (0.153, 0.153, 0.527), Tl at (0.373, 0.373, 0.627), Cd at (0.209, 0.209, 0.791) and Cd at (0.341, 0.341, 0.341).

As for the total energy: -99.8 eV for the cell shown.